1.
Na2Ga6Au after structural relaxation, computed with GGA-PBE.

```
data_Na2Ga6Au
_symmetry_space_group_name_H-M 'C 1 2/m 1'
_symmetry_Int_Tables_number 12
_cell_length_a 10.3166
_cell_length_b 5.9560
_cell_length_c 5.9350
_cell_angle_alpha 90.00
_cell_angle_beta 90.01
_cell_angle_gamma 90.00
loop_
_symmetry_equiv_pos_as_xyz
'x,y,z'
'-x,-y,-z'
'-x,y,-z'
'x,-y,z'
'x+1/2,y+1/2,z'
'-x+1/2,-y+1/2,-z'
'-x+1/2,y+1/2,-z'
'x+1/2,-y+1/2,z'
loop_
_atom_site_label
_atom_site_type_symbol
_atom_site_fract_x
_atom_site_fract_y
_atom_site_fract_z
_atom_site_occupancy
Na1 Na 0.1673 0.0000 0.1334 1
Ga1 Ga 0.0883 0.2340 0.6625 1
Ga2 Ga 0.1771 0.5000 0.3384 1
Au1 Au 0.0000 0.5000 0.0000 1
```

ΔH_f (0 K) = -179 meV/atom

---

2.
Na2Ga2Au after structural relaxation, computed with GGA-PBE.

```
data_Na2Ga2Au
_symmetry_space_group_name_H-M 'P 4/m b m'
_symmetry_Int_Tables_number 127
_symmetry_space_group_name_Hall '-P 4 2ab'
_cell_length_a 6.7340
_cell_length_b 6.7340
_cell_length_c 4.9704
_cell_angle_alpha 90.00
_cell_angle_beta 90.00
_cell_angle_gamma 90.00
loop_
_atom_site_label
_atom_site_type_symbol
_atom_site_fract_x
_atom_site_fract_y
_atom_site_fract_z
_atom_site_occupancy
Na1 Na 0.1788 0.3212 0.0000 1
Ga1 Ga 0.1347 0.6347 0.5000 1
Au1 Au 0.0000 0.0000 0.5000 1
```

E above lowest polymorph = 0.0030 eV per atom
ΔH_f (0 K) = -218 meV/atom

---

3.
Na2Ga3Au17 after structural relaxation, computed with GGA-PBE.

```
data_Na2Ga3Au17
_symmetry_space_group_name_H-M 'R -3 m'
_symmetry_Int_Tables_number 166
_symmetry_space_group_name_Hall '-R 3 2"'
_cell_length_a 10.3491
_cell_length_b 10.3491
_cell_length_c 14.9949
_cell_angle_alpha 90.00
_cell_angle_beta 90.00
_cell_angle_gamma 120.00
loop_
_atom_site_label
_atom_site_type_symbol
_atom_site_fract_x
_atom_site_fract_y
_atom_site_fract_z
_atom_site_occupancy
Na1 Na 0.0000 0.0000 0.2051 1
Ga1 Ga 0.0000 0.5000 0.5000 1
Au1 Au 0.0000 0.0000 0.4031 1
Au2 Au 0.0000 0.2646 0.5000 1
Au3 Au 0.0000 0.5000 0.0000 1
Au4 Au 0.0067 0.5033 0.3318 1
```

ΔH_f (0 K) = 12 meV/atom

---

4.
Na4Ga2Au3 after structural relaxation, computed with GGA-PBE.

```
data_Na4Ga2Au3
_symmetry_space_group_name_H-M 'C 1 2/m 1'
_symmetry_Int_Tables_number 12
_cell_length_a 15.6369
_cell_length_b 4.3176
_cell_length_c 6.3729
_cell_angle_alpha 90.00
_cell_angle_beta 99.81
_cell_angle_gamma 90.00
loop_
_symmetry_equiv_pos_as_xyz
'x,y,z'
'-x,-y,-z'
'-x,y,-z'
'x,-y,z'
'x+1/2,y+1/2,z'
'-x+1/2,-y+1/2,-z'
'-x+1/2,y+1/2,-z'
'x+1/2,-y+1/2,z'
loop_
_atom_site_label
_atom_site_type_symbol
_atom_site_fract_x
_atom_site_fract_y
_atom_site_fract_z
_atom_site_occupancy
Na1 Na 0.0866 0.0000 0.3972 1
Na2 Na 0.2192 0.5000 0.2233 1
Ga1 Ga 0.0897 0.0000 0.9060 1
Au1 Au 0.0000 0.5000 0.0000 1
Au2 Au 0.1404 0.5000 0.7294 1
```

ΔH_f (0 K) = -244 meV/atom

---

Look up the ΔH_f (0 K) of the third one.
12 meV/atom